Entry 1:
Below is NdDy2Tc9 after structural relaxation, with properties calculated at the GGA-PBE level.

Computed properties:
Formation energy, eV per formula unit: -0.25
DFT total energy, eV per atom: -8.960
SG: No. 166
V, Å³/atom: 18.28
Magnetic moment, μB/f.u.: 0.0

a b c (Å): 5.3944 5.3944 9.2457
angles (deg): 73.04 73.04 60.00
With the nearest neighbours (Å) after each atom.
Sites, in units of the cell vectors:
Nd (0.0000, 0.0000, 0.0000)  18 Tc 3.12-3.47
Dy (0.8565, 0.8565, 0.4305)  12 Tc 3.12-3.17, 3 Dy 3.34
Dy (0.1435, 0.1435, 0.5695)  12 Tc 3.12-3.17, 3 Dy 3.34
Tc (0.6609, 0.6609, 0.0172)  6 Tc 2.60-2.78
Tc (0.3391, 0.3391, 0.9828)  6 Tc 2.60-2.78
Tc (0.5000, 0.5000, 0.5000)  6 Tc 2.70
Tc (0.4108, 0.4108, 0.2512)  7 Tc 2.60-2.79
Tc (0.9273, 0.4108, 0.2512)  7 Tc 2.60-2.79
Tc (0.4108, 0.9273, 0.2512)  7 Tc 2.60-2.79
Tc (0.5892, 0.5892, 0.7488)  7 Tc 2.60-2.79
Tc (0.5892, 0.0727, 0.7488)  7 Tc 2.60-2.79
Tc (0.0727, 0.5892, 0.7488)  7 Tc 2.60-2.79

***

Entry 2:
Below is NdDy3Tc after structural relaxation, with properties calculated at the GGA-PBE level.

Computed properties:
Relative energy among the computed polymorphs, eV per atom: 0.0000
Formation energy, eV per formula unit: -0.28
DFT total energy, eV per atom: -5.843
SG: No. 11
V, Å³/atom: 28.36
Magnetic moment, μB/f.u.: 0.0

a b c (Å): 3.8066 8.6886 8.7616
angles (deg): 101.86 90.00 90.00
With the nearest neighbours (Å) after each atom.
Sites, in units of the cell vectors:
Nd (0.7500, 0.3301, 0.4878)  4 Nd 3.48-3.81, 8 Dy 3.55-3.84, 1 Tc 3.87
Nd (0.2500, 0.6699, 0.5122)  4 Nd 3.48-3.81, 8 Dy 3.55-3.84, 1 Tc 3.87
Dy (0.7500, 0.5270, 0.1636)  3 Tc 2.94-3.04
Dy (0.2500, 0.1590, 0.1099)  2 Tc 2.82
Dy (0.7500, 0.9227, 0.3160)  2 Tc 2.84
Dy (0.2500, 0.4730, 0.8364)  3 Tc 2.94-3.04
Dy (0.2500, 0.0773, 0.6840)  2 Tc 2.84
Dy (0.7500, 0.8410, 0.8901)  2 Tc 2.82
Tc (0.2500, 0.7630, 0.0992)  7 Dy 2.82-3.04
Tc (0.7500, 0.2370, 0.9008)  7 Dy 2.82-3.04

***

Entry 3:
Below is NdDy2Tc after structural relaxation, with properties calculated at the GGA-PBE level.

Computed properties:
Relative energy among the computed polymorphs, eV per atom: 0.0756
Formation energy, eV per formula unit: 0.07
DFT total energy, eV per atom: -6.068
SG: No. 123
V, Å³/atom: 27.32
Magnetic moment, μB/f.u.: 0.0

a b c (Å): 3.4586 3.4586 9.1339
angles (deg): 90.00 90.00 90.00
With the nearest neighbours (Å) after each atom.
Sites, in units of the cell vectors:
Nd (0.5000, 0.5000, 0.5000)  4 Nd 3.46, 8 Dy 3.81
Tc (0.5000, 0.5000, 0.0000)  8 Dy 2.95
Dy (0.0000, 0.0000, 0.8196)  4 Tc 2.95, 1 Dy 3.30
Dy (0.0000, 0.0000, 0.1804)  4 Tc 2.95, 1 Dy 3.30

***

Entry 4:
Below is NdDyZnTc after structural relaxation, with properties calculated at the GGA-PBE level.

Computed properties:
Formation energy, eV per formula unit: -0.30
DFT total energy, eV per atom: -5.326
SG: No. 216
V, Å³/atom: 22.20
Magnetic moment, μB/f.u.: 0.0

a b c (Å): 5.0075 5.0075 5.0075
angles (deg): 60.00 60.00 60.00
With the nearest neighbours (Å) after each atom.
Sites, in units of the cell vectors:
Zn (0.0000, 0.0000, 0.0000)  4 Dy 3.07, 4 Nd 3.07
Nd (0.2500, 0.2500, 0.2500)  4 Tc 3.07, 4 Zn 3.07
Tc (0.5000, 0.5000, 0.5000)  4 Dy 3.07, 4 Nd 3.07
Dy (0.7500, 0.7500, 0.7500)  4 Zn 3.07, 4 Tc 3.07

***

Entry 5:
Below is NdDy2Te after structural relaxation, with properties calculated at the GGA-PBE level.

Computed properties:
Relative energy among the computed polymorphs, eV per atom: 0.1287
DFT total energy, eV per atom: -4.813
SG: No. 160
ΔE_f (raw), kJ/mol of formula units: -206
V, Å³/atom: 32.74
Magnetic moment, μB/f.u.: 0.0

a b c (Å): 3.9040 3.9040 10.1733
angles (deg): 78.94 78.94 60.00
With the nearest neighbours (Å) after each atom.
Sites, in units of the cell vectors:
Nd (0.4998, 0.4998, 0.5007)  6 Dy 3.63-3.65, 6 Nd 3.90
Dy (0.0707, 0.0707, 0.7880)  3 Te 3.08
Dy (0.2629, 0.2629, 0.2114)  3 Te 3.08
Te (0.6667, 0.6667, 0.9999)  6 Dy 3.08

***

Entry 6:
Below is NdDy5Te4 after structural relaxation, with properties calculated at the GGA-PBE level.

Computed properties:
DFT total energy, eV per atom: -4.943
SG: No. 12
ΔE_f (raw), kJ/mol of formula units: -877
V, Å³/atom: 32.21
Magnetic moment, μB/f.u.: 0.0

a b c (Å): 4.2085 8.5572 9.4203
angles (deg): 102.77 102.91 90.00
With the nearest neighbours (Å) after each atom.
Sites, in units of the cell vectors:
Nd (0.5000, 0.0000, 0.0000)  6 Te 3.06-3.08
Dy (0.8095, 0.6446, 0.6190)  3 Te 3.13-3.19
Dy (0.8400, 0.2103, 0.6800)  4 Te 3.05-3.15
Dy (0.1600, 0.7897, 0.3200)  4 Te 3.05-3.15
Dy (0.5000, 0.5000, 0.0000)  4 Te 2.96
Dy (0.1905, 0.3554, 0.3810)  3 Te 3.13-3.19
Te (0.3281, 0.9311, 0.6562)  5 Dy 3.05-3.19, 1 Nd 3.08
Te (0.9847, 0.7343, 0.9694)  4 Dy 2.96-3.15, 2 Nd 3.06
Te (0.6719, 0.0689, 0.3438)  5 Dy 3.05-3.19, 1 Nd 3.08
Te (0.0153, 0.2657, 0.0306)  4 Dy 2.96-3.15, 2 Nd 3.06

***

Entry 7:
Below is NdDy4Te2 after structural relaxation, with properties calculated at the GGA-PBE level.

Computed properties:
DFT total energy, eV per atom: -4.699
SG: No. 166
ΔE_f (raw), kJ/mol of formula units: -331
V, Å³/atom: 32.94
Magnetic moment, μB/f.u.: 0.0

a b c (Å): 5.4526 5.4526 9.4919
angles (deg): 73.31 73.31 60.00
With the nearest neighbours (Å) after each atom.
Sites, in units of the cell vectors:
Nd (0.5000, 0.5000, 0.5000)  2 Te 3.16, 6 Dy 3.27
Dy (0.7338, 0.7338, 0.7987)  4 Te 3.11-3.19
Dy (0.8662, 0.8662, 0.4013)  3 Nd 3.27, 7 Dy 3.56-3.62
Dy (0.2662, 0.2662, 0.2013)  4 Te 3.11-3.19
Dy (0.1338, 0.1338, 0.5987)  3 Nd 3.27, 7 Dy 3.56-3.62
Te (0.6178, 0.6178, 0.1466)  4 Dy 3.11-3.19, 1 Nd 3.16
Te (0.3822, 0.3822, 0.8534)  4 Dy 3.11-3.19, 1 Nd 3.16

***

Entry 8:
Below is NdDyTe2 after structural relaxation, with properties calculated at the GGA-PBE level.

Computed properties:
Relative energy among the computed polymorphs, eV per atom: 0.1429
DFT total energy, eV per atom: -5.151
SG: No. 123
ΔE_f (raw), kJ/mol of formula units: -478
V, Å³/atom: 28.08
Magnetic moment, μB/f.u.: 0.6

a b c (Å): 3.8311 5.4147 5.4147
angles (deg): 90.00 90.00 90.00
With the nearest neighbours (Å) after each atom.
Sites, in units of the cell vectors:
Te (0.0000, 0.0000, 0.5000)  4 Nd 3.32, 4 Dy 3.32
Te (0.0000, 0.5000, 0.0000)  4 Dy 3.32, 4 Nd 3.32
Nd (0.5000, 0.5000, 0.5000)  8 Te 3.32
Dy (0.5000, 0.0000, 0.0000)  8 Te 3.32

***

Entry 9:
Below is Nd3Dy4Te8 after structural relaxation, with properties calculated at the GGA-PBE level.

Computed properties:
DFT total energy, eV per atom: -5.254
SG: No. 12
ΔE_f (raw), kJ/mol of formula units: -2023
V, Å³/atom: 32.32
Magnetic moment, μB/f.u.: 0.0

a b c (Å): 8.8056 8.8152 8.8152
angles (deg): 90.04 119.92 119.92
With the nearest neighbours (Å) after each atom.
Sites, in units of the cell vectors:
Nd (0.5000, 0.5000, 0.0000)  6 Te 3.12
Nd (0.5000, 0.0000, 0.5000)  6 Te 3.12
Nd (0.5000, 0.5000, 0.5000)  6 Te 3.16-3.17
Dy (0.5000, 0.0000, 0.0000)  6 Te 3.07
Dy (0.0000, 0.5000, 0.0000)  6 Te 3.12
Dy (0.0000, 0.0000, 0.0000)  6 Te 3.15
Dy (0.0000, 0.0000, 0.5000)  6 Te 3.12
Te (0.5046, 0.2484, 0.2484)  2 Dy 3.07-3.15, 3 Nd 3.12-3.16
Te (0.0000, 0.7474, 0.2526)  3 Dy 3.12-3.15, 2 Nd 3.12
Te (0.9925, 0.2490, 0.2490)  4 Dy 3.07-3.15, 1 Nd 3.17
Te (0.5000, 0.7538, 0.2462)  3 Dy 3.07-3.12, 3 Nd 3.12-3.17
Te (0.5000, 0.2462, 0.7538)  3 Dy 3.07-3.12, 3 Nd 3.12-3.17
Te (0.0075, 0.7510, 0.7510)  4 Dy 3.07-3.15, 1 Nd 3.17
Te (0.0000, 0.2526, 0.7474)  3 Dy 3.12-3.15, 2 Nd 3.12
Te (0.4954, 0.7516, 0.7516)  2 Dy 3.07-3.15, 3 Nd 3.12-3.16

***

Entry 10:
Below is Nd3Dy2Te6 after structural relaxation, with properties calculated at the GGA-PBE level.

Computed properties:
DFT total energy, eV per atom: -5.233
SG: No. 166
ΔE_f (raw), kJ/mol of formula units: -1467
V, Å³/atom: 34.11
Magnetic moment, μB/f.u.: 0.0

a b c (Å): 4.4276 4.4276 22.2466
angles (deg): 84.29 84.29 60.00
With the nearest neighbours (Å) after each atom.
Sites, in units of the cell vectors:
Nd (0.0000, 0.0000, 0.0000)  6 Te 3.17
Nd (0.2773, 0.2773, 0.1680)  6 Te 3.15-3.22
Nd (0.7227, 0.7227, 0.8320)  6 Te 3.15-3.22
Dy (0.4483, 0.4483, 0.6551)  6 Te 3.00-3.21
Dy (0.5517, 0.5517, 0.3449)  6 Te 3.00-3.21
Te (0.0856, 0.0856, 0.7432)  3 Dy 3.21, 3 Nd 3.22
Te (0.9144, 0.9144, 0.2568)  3 Dy 3.21, 3 Nd 3.22
Te (0.1947, 0.1947, 0.4159)  3 Dy 3.00
Te (0.8053, 0.8053, 0.5841)  3 Dy 3.00
Te (0.3615, 0.3615, 0.9154)  6 Nd 3.15-3.17
Te (0.6385, 0.6385, 0.0846)  6 Nd 3.15-3.17

***

Entry 11:
Below is Nd3Dy2Te5 after structural relaxation, with properties calculated at the GGA-PBE level.

Computed properties:
DFT total energy, eV per atom: -5.291
SG: No. 12
ΔE_f (raw), kJ/mol of formula units: -1321
V, Å³/atom: 30.95
Magnetic moment, μB/f.u.: 0.0

a b c (Å): 4.4279 7.7011 9.9307
angles (deg): 97.25 77.12 73.29
With the nearest neighbours (Å) after each atom.
Sites, in units of the cell vectors:
Nd (0.5000, 0.5000, 0.5000)  6 Te 3.16-3.20
Nd (0.9022, 0.8904, 0.3051)  6 Te 3.14-3.22
Nd (0.0978, 0.1096, 0.6949)  6 Te 3.14-3.22
Dy (0.3045, 0.2922, 0.0988)  6 Te 3.04-3.10
Dy (0.6955, 0.7078, 0.9012)  6 Te 3.04-3.10
Te (0.0000, 0.0000, 0.0000)  4 Dy 3.10, 2 Nd 3.22
Te (0.2055, 0.1982, 0.3907)  1 Dy 3.04, 5 Nd 3.14-3.16
Te (0.7945, 0.8018, 0.6093)  1 Dy 3.04, 5 Nd 3.14-3.16
Te (0.6131, 0.5850, 0.1887)  3 Dy 3.09-3.10, 3 Nd 3.20
Te (0.3869, 0.4150, 0.8113)  3 Dy 3.09-3.10, 3 Nd 3.20